w:
This record from the Alexandria database describes a relaxed structure of Al2CrIr2. The functional is GGA-PBE.

a = 3.6878 Å, b = 3.6878 Å, c = 6.4974 Å
α = 73.51°, β = 73.51°, γ = 90.00°
Closest atoms and distances in Å follow each position.
Sites, in units of the cell vectors:
Cr: 0.0000 0.0000 0.0000  8 Ir 2.90
Ir: 0.3926 0.3926 0.2148  4 Al 2.51, 1 Ir 2.56
Ir: 0.6074 0.6074 0.7852  4 Al 2.51, 1 Ir 2.56
Al: 0.7500 0.2500 0.5000  4 Ir 2.51, 4 Al 2.61
Al: 0.2500 0.7500 0.5000  4 Ir 2.51, 4 Al 2.61

Summary:
The density of states at the Fermi level is 3.5 states/eV/cell. Its space group is No. 139.

***

x:
This record from the Alexandria database describes a relaxed structure of Al2CrIr2. The functional is GGA-PBE.

a = 7.2198 Å, b = 7.2198 Å, c = 2.8500 Å
α = 90.00°, β = 90.00°, γ = 90.00°
Closest atoms and distances in Å follow each position.
Sites, in units of the cell vectors:
Cr: 0.0000 0.0000 0.0000  4 Al 2.81, 2 Cr 2.85, 8 Ir 3.05
Cr: 0.5000 0.5000 0.0000  4 Al 2.81, 2 Cr 2.85, 8 Ir 3.05
Ir: 0.1631 0.6631 0.5000  6 Al 2.51-2.59
Ir: 0.6631 0.8369 0.5000  6 Al 2.51-2.59
Ir: 0.8369 0.3369 0.5000  6 Al 2.51-2.59
Ir: 0.3369 0.1631 0.5000  6 Al 2.51-2.59
Al: 0.3656 0.8656 0.0000  6 Ir 2.51-2.59, 1 Al 2.74
Al: 0.8656 0.6344 0.0000  6 Ir 2.51-2.59, 1 Al 2.74
Al: 0.6344 0.1344 0.0000  6 Ir 2.51-2.59, 1 Al 2.74
Al: 0.1344 0.3656 0.0000  6 Ir 2.51-2.59, 1 Al 2.74

Summary:
The density of states at the Fermi level is 6.4 states/eV/cell. Its space group is No. 127.

***

Quick one: most stable of them? x

***

w:
This record from the Alexandria database describes a relaxed structure of KAl2Cr. The functional is GGA-PBE.

a = 10.2618 Å, b = 10.2618 Å, c = 10.2618 Å
α = 16.39°, β = 16.39°, γ = 16.39°
Closest atoms and distances in Å follow each position.
Sites, in units of the cell vectors:
Cr: 0.2500 0.2500 0.2500  6 Al 2.61, 6 Cr 2.93
K: 0.7500 0.7500 0.7500  6 K 2.93
Al: 0.9823 0.9823 0.9823  3 Cr 2.61, 6 Al 2.93
Al: 0.5177 0.5177 0.5177  3 Cr 2.61, 6 Al 2.93

Summary:
The density of states at the Fermi level is 3.5 states/eV/cell. Its space group is No. 166.

***

x:
This record from the Alexandria database describes a relaxed structure of KAl2Cr. The functional is GGA-PBE.

a = 3.1027 Å, b = 3.1023 Å, c = 8.6800 Å
α = 90.00°, β = 90.00°, γ = 90.00°
Closest atoms and distances in Å follow each position.
Sites, in units of the cell vectors:
Cr: 0.5000 0.5000 0.2500  8 Al 2.64
K: 0.5000 0.5000 0.7500  4 K 3.10
Al: 0.0000 0.0000 0.0803  4 Cr 2.64, 1 Al 2.95
Al: 0.0000 0.0000 0.4197  4 Cr 2.64, 1 Al 2.95

Summary:
The density of states at the Fermi level is 1.4 states/eV/cell. Its space group is No. 123.

***

Quick one: most stable of them? x

***

w:
This record from the Alexandria database describes a relaxed structure of KAl2Cr. The functional is GGA-PBE.

a = 3.3305 Å, b = 3.3305 Å, c = 8.4332 Å
α = 90.00°, β = 90.00°, γ = 90.01°
Closest atoms and distances in Å follow each position.
Sites, in units of the cell vectors:
Cr: 0.0000 0.0000 0.4101  5 Al 2.66-2.82
K: 0.5000 0.5000 0.7513  4 K 3.33, 4 Al 3.61, 4 Cr 3.72
Al: 0.0000 0.0000 0.0753  1 Cr 2.82, 4 Al 2.84
Al: 0.5000 0.5000 0.2633  4 Cr 2.66, 4 Al 2.84

Summary:
The density of states at the Fermi level is 2.1 states/eV/cell. Its space group is No. 99.

***

x:
This record from the Alexandria database describes a relaxed structure of KAl2Cr. The functional is GGA-PBE.

a = 5.3072 Å, b = 5.3072 Å, c = 3.0239 Å
α = 90.00°, β = 90.00°, γ = 90.00°
Closest atoms and distances in Å follow each position.
Sites, in units of the cell vectors:
Cr: 0.5000 0.0000 0.5000  2 Cr 3.02, 8 Al 3.05
K: 0.0000 0.5000 0.5000  2 K 3.02, 8 Al 3.05
Al: 0.0000 0.0000 0.0000  2 Al 3.02, 4 Cr 3.05, 4 K 3.05
Al: 0.5000 0.5000 0.0000  2 Al 3.02, 4 Cr 3.05, 4 K 3.05

Summary:
The density of states at the Fermi level is 2.5 states/eV/cell. Its space group is No. 123.

***

Quick one: most stable of them? w

***

w:
This record from the Alexandria database describes a relaxed structure of KAl2Cr. The functional is GGA-PBE.

a = 6.2850 Å, b = 6.2850 Å, c = 6.2850 Å
α = 152.63°, β = 127.60°, γ = 60.12°
Closest atoms and distances in Å follow each position.
Sites, in units of the cell vectors:
Cr: 0.5421 0.5421 0.0000  2 Al 2.68, 2 Cr 2.97
K: 0.2479 0.7479 0.5000  2 K 2.97, 4 Al 3.15
Al: 0.9623 0.9623 0.0000  4 Al 2.77-2.97
Al: 0.7476 0.2476 0.5000  2 Cr 2.68, 4 Al 2.77-2.97

Summary:
The density of states at the Fermi level is 1.8 states/eV/cell. Its space group is No. 44.

***

x:
This record from the Alexandria database describes a relaxed structure of KAl2Cr. The functional is GGA-PBE.

a = 4.3097 Å, b = 4.3777 Å, c = 4.8276 Å
α = 90.00°, β = 90.00°, γ = 90.00°
Closest atoms and distances in Å follow each position.
Sites, in units of the cell vectors:
Cr: 0.5000 0.0000 0.5000  4 K 3.07, 8 Al 3.24-3.26
K: 0.0000 0.5000 0.5000  4 Cr 3.07, 8 Al 3.24-3.26
Al: 0.0000 0.0000 0.0000  4 Al 3.07, 4 Cr 3.24, 4 K 3.26
Al: 0.5000 0.5000 0.0000  4 Al 3.07, 4 K 3.24, 4 Cr 3.26

Summary:
The density of states at the Fermi level is 4.0 states/eV/cell. Its space group is No. 47.

***

Quick one: most stable of them? w

***

w:
This record from the Alexandria database describes a relaxed structure of KAl2Cr. The functional is GGA-PBE.

a = 5.3789 Å, b = 5.3789 Å, c = 9.6915 Å
α = 73.89°, β = 73.89°, γ = 90.00°
Closest atoms and distances in Å follow each position.
Sites, in units of the cell vectors:
Cr: 0.0000 0.0000 0.0000  4 Al 2.60
Cr: 0.7500 0.2500 0.5000  4 Al 2.60
K: 0.5000 0.5000 0.0000  8 Al 3.74, 4 Cr 3.80
K: 0.2500 0.7500 0.5000  8 Al 3.74, 4 Cr 3.80
Al: 0.8745 0.1250 0.2500  2 Cr 2.60, 2 Al 2.69
Al: 0.8755 0.6250 0.2500  2 Cr 2.60, 2 Al 2.69
Al: 0.3750 0.1255 0.7500  2 Cr 2.60, 2 Al 2.69
Al: 0.8750 0.1245 0.7500  2 Cr 2.60, 2 Al 2.69

Summary:
The density of states at the Fermi level is 5.6 states/eV/cell. Its space group is No. 141.

***

x:
This record from the Alexandria database describes a relaxed structure of KAl2Cr. The functional is GGA-PBE.

a = 4.8147 Å, b = 4.8147 Å, c = 7.3244 Å
α = 84.76°, β = 84.76°, γ = 36.07°
Closest atoms and distances in Å follow each position.
Sites, in units of the cell vectors:
Cr: 0.4798 0.4798 0.6114  5 Al 2.65-2.70
K: 0.2525 0.2525 0.2510  2 K 2.98
Al: 0.0172 0.0172 0.9092  2 Cr 2.69, 5 Al 2.83-2.98
Al: 0.7505 0.7505 0.7284  3 Cr 2.65-2.70, 3 Al 2.83-2.89

Summary:
The density of states at the Fermi level is 3.1 states/eV/cell. Its space group is No. 8.

***

y:
This record from the Alexandria database describes a relaxed structure of KAl2Cr. The functional is GGA-PBE.

a = 4.7997 Å, b = 4.7997 Å, c = 4.7997 Å
α = 60.00°, β = 60.00°, γ = 60.00°
Closest atoms and distances in Å follow each position.
Sites, in units of the cell vectors:
Cr: 0.5000 0.5000 0.5000  8 Al 2.94
K: 0.0000 0.0000 0.0000  8 Al 2.94
Al: 0.2500 0.2500 0.2500  4 Cr 2.94, 4 K 2.94
Al: 0.7500 0.7500 0.7500  4 Cr 2.94, 4 K 2.94

Summary:
The density of states at the Fermi level is 8.1 states/eV/cell. Its space group is No. 225.

***

Quick one: most stable of them? x

***

w:
This record from the Alexandria database describes a relaxed structure of KAl2Cr. The functional is GGA-PBE.

a = 4.7255 Å, b = 4.7255 Å, c = 7.4162 Å
α = 84.75°, β = 84.75°, γ = 36.33°
Closest atoms and distances in Å follow each position.
Sites, in units of the cell vectors:
Cr: 0.7500 0.7500 0.7500  6 Al 2.71-2.76, 2 Cr 2.95
K: 0.2500 0.2500 0.2500  2 K 2.95
Al: 0.0184 0.0184 0.9027  3 Cr 2.71-2.76, 4 Al 2.75-2.95
Al: 0.4816 0.4816 0.5973  3 Cr 2.71-2.76, 4 Al 2.75-2.95

Summary:
The density of states at the Fermi level is 2.6 states/eV/cell. Its space group is No. 12.

***

x:
This record from the Alexandria database describes a relaxed structure of KAl2Cr. The functional is GGA-PBE.

a = 4.3011 Å, b = 2.9570 Å, c = 7.7058 Å
α = 89.96°, β = 90.00°, γ = 90.00°
Closest atoms and distances in Å follow each position.
Sites, in units of the cell vectors:
Cr: 0.0000 0.6244 0.3583  6 Al 2.61-2.63
K: 0.5000 0.6266 0.7458  2 K 2.96
Al: 0.0000 0.1248 0.0795  2 Cr 2.61, 2 Al 2.82
Al: 0.5000 0.1242 0.3164  4 Cr 2.63, 2 Al 2.82

Summary:
The density of states at the Fermi level is 2.3 states/eV/cell. Its space group is No. 6.

***

Quick one: most stable of them? x

***

w:
This record from the Alexandria database describes a relaxed structure of KAlCr. The functional is GGA-PBE.

a = 5.0555 Å, b = 5.0555 Å, c = 5.0555 Å
α = 60.00°, β = 60.00°, γ = 60.00°
Closest atoms and distances in Å follow each position.
Sites, in units of the cell vectors:
Cr: 0.2500 0.2500 0.2500  4 K 3.10, 4 Al 3.10
K: 0.0000 0.0000 0.0000  4 Cr 3.10
Al: 0.5000 0.5000 0.5000  4 Cr 3.10

Summary:
The density of states at the Fermi level is 3.1 states/eV/cell. Its space group is No. 216.

***

x:
This record from the Alexandria database describes a relaxed structure of KAlCr. The functional is GGA-PBE.

a = 2.8438 Å, b = 2.8438 Å, c = 8.1212 Å
α = 90.00°, β = 90.00°, γ = 120.00°
Closest atoms and distances in Å follow each position.
Sites, in units of the cell vectors:
Cr: 0.3333 0.6667 0.2965  3 Al 2.63, 6 Cr 2.84
K: 0.6667 0.3333 0.6601  6 K 2.84
Al: 0.0000 0.0000 0.0434  3 Cr 2.63, 6 Al 2.84

Summary:
The density of states at the Fermi level is 2.1 states/eV/cell. Its space group is No. 156.

***

Quick one: most stable of them? x

***

w:
This record from the Alexandria database describes a relaxed structure of KAlCr. The functional is GGA-PBE.

a = 5.3237 Å, b = 5.3237 Å, c = 5.3237 Å
α = 60.00°, β = 60.00°, γ = 60.00°
Closest atoms and distances in Å follow each position.
Sites, in units of the cell vectors:
Cr: 0.5000 0.5000 0.5000  4 K 3.26
K: 0.2500 0.2500 0.2500  4 Cr 3.26, 4 Al 3.26
Al: 0.0000 0.0000 0.0000  4 K 3.26

Summary:
The density of states at the Fermi level is 2.4 states/eV/cell. Its space group is No. 216.

***

x:
This record from the Alexandria database describes a relaxed structure of KAlCr. The functional is GGA-PBE.

a = 6.7350 Å, b = 6.7350 Å, c = 6.7350 Å
α = 153.89°, β = 143.48°, γ = 45.45°
Closest atoms and distances in Å follow each position.
Sites, in units of the cell vectors:
Cr: 0.6015 0.6015 0.0000  4 Al 2.65
K: 0.3356 0.3356 0.0000  2 K 3.04, 1 Cr 3.30, 1 Al 3.39
Al: 0.0629 0.0629 0.0000  4 Cr 2.65

Summary:
The density of states at the Fermi level is 1.7 states/eV/cell. Its space group is No. 44.

***

y:
This record from the Alexandria database describes a relaxed structure of KAlCr. The functional is GGA-PBE.

a = 5.3215 Å, b = 5.3215 Å, c = 3.1199 Å
α = 90.00°, β = 90.00°, γ = 120.00°
Closest atoms and distances in Å follow each position.
Sites, in units of the cell vectors:
Cr: 0.6667 0.3333 0.1672  3 Al 3.07, 2 Cr 3.12
K: 0.3333 0.6667 0.6663  2 K 3.12, 6 Cr 3.44-3.45, 6 Al 3.45
Al: 0.0000 0.0000 0.1665  3 Cr 3.07, 2 Al 3.12

Summary:
The density of states at the Fermi level is 1.6 states/eV/cell. Its space group is No. 187.

***

Quick one: most stable of them? x